VGa2Sn: relaxed, PBE-GGA.

Output
- volume (Å³/f.u.) = 78.9
- energy relative to the lowest polymorph listed for this composition (meV/atom) = 22
- electronic total energy (Ha/atom) = -0.1631
- density (g cm⁻³) = 6.50

Structure (extended XYZ):
```
8
Lattice="7.638 0.000 0.000 0.000 7.638 0.000 3.819 3.819 2.706" Properties=species:S:1:pos:R:3 pbc="T T T"
Sn 7.638 3.819 1.353
Sn 0.000 0.000 0.000
Ga 5.729 6.034 2.029
Ga 9.548 9.243 2.029
Ga 2.215 5.729 0.676
Ga 5.424 1.910 0.676
V 3.819 3.819 0.000
V 3.819 7.638 1.353
```